Entry 1:
5
Lattice="4.919 0.000 0.000 0.000 4.919 0.000 0.000 0.000 4.919" Properties=species:S:1:pos:R:3 comment="BaZnSi3 PBE-GGA optimized geometry" dos_at_fermi_per_ev_fu=2.98 dft_energy_ev_per_cell=-17.55 raw_formation_energy_mev_per_atom=384 pbc="T T T"
Ba 0.000 0.000 0.000
Zn 2.459 2.459 2.459
Si 0.000 2.459 2.459
Si 2.459 0.000 2.459
Si 2.459 2.459 0.000

***

Entry 2:
6
Lattice="4.386 0.000 0.000 -2.193 3.798 0.000 0.000 0.000 9.853" Properties=species:S:1:pos:R:3 comment="BaZnSi PBE-GGA optimized geometry" dos_at_fermi_per_ev_fu=1.07 dft_energy_ev_per_cell=-19.47 raw_formation_energy_mev_per_atom=-372 pbc="T T T"
Ba 0.000 0.000 0.000
Ba 0.000 0.000 4.927
Zn 0.000 2.532 2.463
Zn 2.193 1.266 7.390
Si 0.000 2.532 7.390
Si 2.193 1.266 2.463